Entry 1:
# BaCrH2N, optimized geometry, DFT GGA-PBE
# space-group type = P4/mmm
data_BaCrH2N
_cell_length_a 4.0998
_cell_length_b 4.0998
_cell_length_c 3.8154
_cell_angle_alpha 90.00
_cell_angle_beta 90.00
_cell_angle_gamma 90.00
_symmetry_space_group_name_H-M 'P 1'
_symmetry_Int_Tables_number 1
loop_
_symmetry_equiv_pos_as_xyz
'x,y,z'
loop_
_atom_site_label
_atom_site_fract_x
_atom_site_fract_y
_atom_site_fract_z
Ba1 0.5000 0.5000 0.5000
N1 0.0000 0.0000 0.5000
Cr1 0.0000 0.0000 0.0000
H1 0.5000 0.0000 0.0000
H2 0.0000 0.5000 0.0000

=====

Entry 2:
# BaCd9In2, optimized geometry, DFT GGA-PBE
# space-group type = I4_1/amd
# calculated formation energy = -0.139 eV per atom
data_BaCd9In2
_cell_length_a 8.3401
_cell_length_b 9.5093
_cell_length_c 9.5093
_cell_angle_alpha 78.91
_cell_angle_beta 63.99
_cell_angle_gamma 63.99
_symmetry_space_group_name_H-M 'P 1'
_symmetry_Int_Tables_number 1
loop_
_symmetry_equiv_pos_as_xyz
'x,y,z'
loop_
_atom_site_label
_atom_site_fract_x
_atom_site_fract_y
_atom_site_fract_z
Cd1 0.5893 0.3260 0.0840
Cd2 0.6653 0.1740 0.5840
Cd3 0.7500 0.5000 0.5000
Ba1 0.5000 0.0000 0.0000
In1 0.8750 0.2500 0.7500
Cd4 0.1607 0.4160 0.1740
Cd5 0.4233 0.4160 0.8260
Cd6 0.9993 0.9160 0.6740
Cd7 0.4233 0.8260 0.4160
Cd8 0.7507 0.5840 0.8260
Cd9 0.3267 0.6740 0.0840
In2 0.8750 0.2500 0.2500
Cd10 0.6653 0.5840 0.1740
Cd11 0.7507 0.8260 0.5840
In3 0.3750 0.7500 0.7500
Cd12 0.1607 0.1740 0.4160
Cd13 0.3267 0.0840 0.6740
Cd14 0.0847 0.3260 0.9160
Cd15 0.0847 0.9160 0.3260
Cd16 0.5893 0.0840 0.3260
Ba2 0.2500 0.5000 0.5000
Cd17 0.9993 0.6740 0.9160
In4 0.8750 0.7500 0.2500
Cd18 0.0000 0.0000 0.0000

=====

no.,magnetization (μB/f.u.),raw total energy (eV per atom)
1,2.83,-5.6996
2,0.00,-1.4419